[1]
The following is a DFT calculation (SCAN) of a PBEsol-optimized structure of Mo3SI.

CIF file:
```
data_Mo3SI
_chemical_formula_sum 'Mo3 S1 I1'
_cell_length_a 4.8279
_cell_length_b 4.8279
_cell_length_c 4.8279
_cell_angle_alpha 90.00
_cell_angle_beta 90.00
_cell_angle_gamma 90.00
_space_group_name_H-M_alt 'P m -3 m'
_space_group_IT_number 221
_space_group_name_Hall '-P 4 2 3'
loop_
_atom_site_label
_atom_site_type_symbol
_atom_site_fract_x
_atom_site_fract_y
_atom_site_fract_z
Mo1 Mo 0.0000 0.0000 0.5000
S1 S 0.5000 0.5000 0.5000
I1 I 0.0000 0.0000 0.0000
```

Values from the calculation:
The calculation puts the magnetic moment at 0.001 μB/cell. The calculation puts the total energy at -27.70 eV per atom.

=====

[2]
The following is a DFT calculation (SCAN) of a PBEsol-optimized structure of SbMoSI2.

CIF file:
```
data_SbMoSI2
_chemical_formula_sum 'Sb1 Mo1 S1 I2'
_cell_length_a 5.1467
_cell_length_b 5.1467
_cell_length_c 5.3433
_cell_angle_alpha 90.00
_cell_angle_beta 90.00
_cell_angle_gamma 90.00
_space_group_name_H-M_alt 'P 4/m m m'
_space_group_IT_number 123
_space_group_name_Hall '-P 4 2'
loop_
_atom_site_label
_atom_site_type_symbol
_atom_site_fract_x
_atom_site_fract_y
_atom_site_fract_z
Sb1 Sb 0.0000 0.0000 0.0000
Mo1 Mo 0.0000 0.0000 0.5000
S1 S 0.5000 0.5000 0.0000
I1 I 0.0000 0.5000 0.5000
```

Values from the calculation:
The calculation puts the magnetic moment at 0.000 μB/cell. The calculation puts the total energy at -30.26 eV per atom.

=====

Listing energy relative to the elements, uncorrected for the structures above in their given order: 2.51, 0.79 eV/atom.